{"formula": "NiBO2F", "functional": "GGA+U", "state": "relaxed", "final_energy_ev_per_atom": -5.992, "density_g_cm3": 3.849, "space_group": "P2_1/m (11)", "total_magnetization_mub_per_atom": 0.4015, "cell": [[4.674, 0.000, 0.000], [0.000, 4.617, 0.000], [-2.118, 0.000, 4.819]], "species": ["Ni", "Ni", "B", "B", "O", "O", "O", "O", "F", "F"], "frac_coords": [[0.207, 0.250, 0.486], [0.793, 0.750, 0.514], [0.137, 0.750, 0.136], [0.863, 0.250, 0.864], [0.114, 0.250, 0.104], [0.161, 0.750, 0.410], [0.839, 0.250, 0.590], [0.886, 0.750, 0.896], [0.442, 0.750, 0.131], [0.558, 0.250, 0.869]]}